{
  "formula": "PrEuHfCrO6",
  "functional": "PBE with a Hubbard U",
  "state": "relaxed",
  "e_tot_ev_per_atom": -9.1519,
  "crystal_system": "cubic",
  "vol_a3_per_atom": 12.957,
  "rho_g_cm3": 7.9,
  "spacegroup": "No. 216",
  "n_ef_per_ev_atom": 1.12,
  "lattice_angstrom": [[0.000, 4.016, 4.016], [4.016, 0.000, 4.016], [4.016, 4.016, 0.000]],
  "species": ["Pr", "Eu", "Hf", "Cr", "O", "O", "O", "O", "O", "O"],
  "fractional_positions": [[0.000, 0.000, 0.000], [0.500, 0.500, 0.500], [0.750, 0.750, 0.750], [0.250, 0.250, 0.250], [0.004, 0.004, 0.496], [0.004, 0.496, 0.004], [0.004, 0.496, 0.496], [0.496, 0.004, 0.004], [0.496, 0.004, 0.496], [0.496, 0.496, 0.004]]
}